This record from Alexandria via LeMat-Bulk describes a geometry-optimized PrDyTmSc structure. The functional is GGA-PBE.

Calculated density: 7.026 g/cm3
ΔE_f: 0.100 eV/atom
E above lowest polymorph: 39 meV/atom

Cell lengths 5.571, 5.571, 5.571 Å; angles 60.00, 60.00, 60.00 degrees
Element x y z (fractional)
1 Tm 0.500 0.500 0.500
2 Sc 0.000 0.000 0.000
3 Pr 0.750 0.750 0.750
4 Dy 0.250 0.250 0.250